Below is Y4TmPu after structural relaxation, with properties calculated at the PBE level.

Cell: 7.863 7.863 7.077 Å, 103.06 103.06 25.95°
Fractional positions:
Y 0.163 0.163 0.333
Y 0.165 0.165 0.831
Y 0.835 0.835 0.169
Y 0.837 0.837 0.667
Tm 0.500 0.500 0.000
Pu 0.500 0.500 0.500

Results
**DFT formation energy**: 75 meV/atom
**V**: 186.2 Å³/cell